Compound: LiMo2Au
Source: Alexandria
Functional: PBE
Structure: relaxed

symmetry: Cmmm, No. 65
ΔE_f: 242.4 meV/atom
energy above the lowest structure with this stoichiometry: 146.0 meV/atom
magnetization: 0.000 μB/atom

abc: 5.271 5.271 2.662
angles: 90.00 90.00 122.11
Positions (direct):
Li1 0.000 0.500 0.500
Mo1 0.000 0.000 0.000
Mo2 0.500 0.500 0.000
Au1 0.500 0.000 0.500